Entry P
VASP calculation (PBE) on a relaxed structure of NaMo3Br.

a b c (Å): 4.7029 4.7029 4.7029
angles (deg): 90.00 90.00 90.00
Last column: nearest neighbours and their distance in Å.
Atoms (fractional coordinates):
Na 0.0000 0.0000 0.0000  6 Mo 2.35
Mo 0.0000 0.5000 0.0000  2 Na 2.35
Mo 0.0000 0.0000 0.5000  2 Na 2.35
Mo 0.5000 0.0000 0.0000  2 Na 2.35
Br 0.5000 0.5000 0.5000  12 Mo 3.33

Computed properties:
Crystal system: cubic
Density: 6.24 g/cm3

Entry Q
VASP calculation (PBE) on a relaxed structure of NaMo3Br.

a b c (Å): 4.6854 4.6854 4.6854
angles (deg): 90.00 90.00 90.00
Last column: nearest neighbours and their distance in Å.
Atoms (fractional coordinates):
Na 0.5000 0.5000 0.5000  12 Mo 3.31
Mo 0.0000 0.5000 0.0000  2 Br 2.34
Mo 0.0000 0.0000 0.5000  2 Br 2.34
Mo 0.5000 0.0000 0.0000  2 Br 2.34
Br 0.0000 0.0000 0.0000  6 Mo 2.34

Computed properties:
Crystal system: cubic
Density: 6.31 g/cm3

Verdict on stability: entry Q comes out on top.

Entry P
VASP calculation (PBE) on a relaxed structure of NaMo2Br.

a b c (Å): 3.6881 3.6881 12.4519
angles (deg): 81.48 81.48 90.00
Last column: nearest neighbours and their distance in Å.
Atoms (fractional coordinates):
Na 0.5000 0.5000 0.0000  4 Br 2.61
Na 0.2500 0.7500 0.5000  4 Br 2.61
Mo 0.1057 0.1250 0.2500  4 Mo 2.51-2.71
Mo 0.6443 0.6250 0.2500  4 Mo 2.51-2.71
Mo 0.3750 0.8943 0.7500  4 Mo 2.51-2.71
Mo 0.8750 0.3557 0.7500  4 Mo 2.51-2.71
Br 0.0000 0.0000 0.0000  4 Na 2.61
Br 0.7500 0.2500 0.5000  4 Na 2.61

Computed properties:
Crystal system: tetragonal
Density: 5.91 g/cm3

Entry Q
VASP calculation (PBE) on a relaxed structure of NaMo2Br.

a b c (Å): 4.6261 4.6261 4.6261
angles (deg): 60.00 60.00 60.00
Last column: nearest neighbours and their distance in Å.
Atoms (fractional coordinates):
Na 0.0000 0.0000 0.0000  8 Mo 2.83
Mo 0.2500 0.2500 0.2500  4 Br 2.83, 4 Na 2.83
Mo 0.7500 0.7500 0.7500  4 Br 2.83, 4 Na 2.83
Br 0.5000 0.5000 0.5000  8 Mo 2.83

Computed properties:
Crystal system: cubic
Density: 6.99 g/cm3

Verdict on stability: entry P comes out on top.

Entry P
VASP calculation (PBE) on a relaxed structure of Rb2NaMoBr6.

a b c (Å): 7.7016 7.7016 14.3100
angles (deg): 74.39 74.39 60.00
Last column: nearest neighbours and their distance in Å.
Atoms (fractional coordinates):
Rb 0.8689 0.8689 0.3932  9 Br 3.75-3.85
Rb 0.1311 0.1311 0.6068  9 Br 3.75-3.85
Rb 0.6986 0.6986 0.9043  9 Br 3.66-3.86
Rb 0.3014 0.3014 0.0957  9 Br 3.66-3.86
Na 0.5855 0.5855 0.2436  6 Br 2.92-2.93
Na 0.4145 0.4145 0.7564  6 Br 2.92-2.93
Mo 0.0000 0.0000 0.0000  6 Br 2.62
Mo 0.5000 0.5000 0.5000  6 Br 2.63
Br 0.8594 0.3758 0.3890  1 Mo 2.63, 1 Na 2.92
Br 0.3758 0.8594 0.3890  1 Mo 2.63, 1 Na 2.92
Br 0.3758 0.3758 0.3890  1 Mo 2.63, 1 Na 2.92
Br 0.1406 0.6242 0.6110  1 Mo 2.63, 1 Na 2.92
Br 0.6242 0.1406 0.6110  1 Mo 2.63, 1 Na 2.92
Br 0.6242 0.6242 0.6110  1 Mo 2.63, 1 Na 2.92
Br 0.7192 0.1966 0.8876  1 Mo 2.62, 1 Na 2.93
Br 0.1966 0.7192 0.8876  1 Mo 2.62, 1 Na 2.93
Br 0.1966 0.1966 0.8876  1 Mo 2.62, 1 Na 2.93
Br 0.2808 0.8034 0.1124  1 Mo 2.62, 1 Na 2.93
Br 0.8034 0.2808 0.1124  1 Mo 2.62, 1 Na 2.93
Br 0.8034 0.8034 0.1124  1 Mo 2.62, 1 Na 2.93

Computed properties:
Crystal system: trigonal
Density: 3.66 g/cm3

Entry Q
VASP calculation (PBE) on a relaxed structure of Rb2NaMoBr6.

a b c (Å): 7.8183 7.8183 7.8183
angles (deg): 60.00 60.00 60.00
Last column: nearest neighbours and their distance in Å.
Atoms (fractional coordinates):
Rb 0.7500 0.7500 0.7500  12 Br 3.91
Rb 0.2500 0.2500 0.2500  12 Br 3.91
Na 0.5000 0.5000 0.5000  6 Br 2.92
Mo 0.0000 0.0000 0.0000  6 Br 2.61
Br 0.7637 0.2363 0.2363  1 Mo 2.61, 1 Na 2.92
Br 0.2363 0.2363 0.7637  1 Mo 2.61, 1 Na 2.92
Br 0.2363 0.7637 0.7637  1 Mo 2.61, 1 Na 2.92
Br 0.2363 0.7637 0.2363  1 Mo 2.61, 1 Na 2.92
Br 0.7637 0.2363 0.7637  1 Mo 2.61, 1 Na 2.92
Br 0.7637 0.7637 0.2363  1 Mo 2.61, 1 Na 2.92

Computed properties:
Crystal system: cubic
Density: 3.78 g/cm3

Verdict on stability: entry P comes out on top.

Entry P
VASP calculation (PBE) on a relaxed structure of NaMoSe2Br.

a b c (Å): 5.2049 5.2049 5.0824
angles (deg): 90.00 90.00 90.00
Last column: nearest neighbours and their distance in Å.
Atoms (fractional coordinates):
Na 0.0000 0.0000 0.0000  2 Br 2.54, 4 Se 2.60
Mo 0.5000 0.5000 0.5000  8 Se 3.64, 4 Br 3.68
Se 0.0000 0.5000 0.0000  2 Na 2.60
Se 0.5000 0.0000 0.0000  2 Na 2.60
Br 0.0000 0.0000 0.5000  2 Na 2.54

Computed properties:
Crystal system: tetragonal
Density: 4.30 g/cm3

Entry Q
VASP calculation (PBE) on a relaxed structure of NaMoSe2Br.

a b c (Å): 4.8936 4.8936 5.6153
angles (deg): 90.00 90.00 90.00
Last column: nearest neighbours and their distance in Å.
Atoms (fractional coordinates):
Na 0.5000 0.5000 0.5000  4 Br 3.46, 8 Se 3.72
Mo 0.0000 0.0000 0.0000  4 Se 2.45
Se 0.0000 0.5000 0.0000  2 Mo 2.45
Se 0.5000 0.0000 0.0000  2 Mo 2.45
Br 0.0000 0.0000 0.5000  2 Mo 2.81

Computed properties:
Crystal system: tetragonal
Density: 4.41 g/cm3

Verdict on stability: entry Q comes out on top.

Entry P
VASP calculation (PBE) on a relaxed structure of NaTaMoBr2.

a b c (Å): 5.1933 6.3123 5.1933
angles (deg): 90.00 90.00 90.00
Last column: nearest neighbours and their distance in Å.
Atoms (fractional coordinates):
Na 0.0000 0.5000 0.0000  2 Mo 3.16
Mo 0.0000 0.0000 0.0000  4 Br 2.60
Br 0.0000 0.0000 0.5000  2 Mo 2.60
Br 0.5000 0.0000 0.0000  2 Mo 2.60
Ta 0.5000 0.5000 0.5000  4 Na 3.67, 8 Br 4.09

Computed properties:
Crystal system: tetragonal
Density: 4.48 g/cm3

Entry Q
VASP calculation (PBE) on a relaxed structure of NaTaMoBr2.

a b c (Å): 5.4409 4.7590 5.4409
angles (deg): 90.00 90.00 90.00
Last column: nearest neighbours and their distance in Å.
Atoms (fractional coordinates):
Na 0.5000 0.5000 0.5000  8 Br 3.61, 4 Ta 3.85
Mo 0.0000 0.0000 0.0000  2 Ta 2.38
Br 0.0000 0.0000 0.5000  2 Mo 2.72
Br 0.5000 0.0000 0.0000  2 Mo 2.72
Ta 0.0000 0.5000 0.0000  2 Mo 2.38

Computed properties:
Crystal system: tetragonal
Density: 5.42 g/cm3

Verdict on stability: entry Q comes out on top.

Entry P
VASP calculation (PBE) on a relaxed structure of NbMoBr2.

a b c (Å): 4.6066 4.6066 4.6066
angles (deg): 60.00 60.00 60.00
Last column: nearest neighbours and their distance in Å.
Atoms (fractional coordinates):
Mo 0.5000 0.5000 0.5000  8 Br 2.82
Nb 0.0000 0.0000 0.0000  8 Br 2.82
Br 0.2500 0.2500 0.2500  4 Nb 2.82, 4 Mo 2.82
Br 0.7500 0.7500 0.7500  4 Mo 2.82, 4 Nb 2.82

Computed properties:
Crystal system: cubic
Density: 8.38 g/cm3

Entry Q
VASP calculation (PBE) on a relaxed structure of NbMoBr2.

a b c (Å): 9.2008 9.2008 9.2008
angles (deg): 19.80 19.80 19.80
Last column: nearest neighbours and their distance in Å.
Atoms (fractional coordinates):
Mo 0.0000 0.0000 0.0000  2 Br 2.54
Nb 0.5000 0.5000 0.5000  6 Br 2.69
Br 0.9062 0.9062 0.9062  1 Mo 2.54, 3 Nb 2.69
Br 0.0938 0.0938 0.0938  1 Mo 2.54, 3 Nb 2.69

Computed properties:
Crystal system: trigonal
Density: 7.41 g/cm3

Entry R
VASP calculation (PBE) on a relaxed structure of NbMoBr2.

a b c (Å): 4.3370 4.3370 9.1050
angles (deg): 76.22 76.22 90.00
Last column: nearest neighbours and their distance in Å.
Atoms (fractional coordinates):
Mo 0.0000 0.0000 0.0000  4 Br 2.63
Mo 0.7500 0.2500 0.5000  4 Br 2.63
Nb 0.5000 0.5000 0.0000  4 Br 2.64
Nb 0.2500 0.7500 0.5000  4 Br 2.64
Br 0.6293 0.1250 0.2500  2 Mo 2.63, 2 Nb 2.64
Br 0.1207 0.6250 0.2500  2 Mo 2.63, 2 Nb 2.64
Br 0.3750 0.3707 0.7500  2 Mo 2.63, 2 Nb 2.64
Br 0.8750 0.8793 0.7500  2 Mo 2.63, 2 Nb 2.64

Computed properties:
Crystal system: tetragonal
Density: 7.18 g/cm3

Verdict on stability: entry Q comes out on top.

Entry P
VASP calculation (PBE) on a relaxed structure of Ni3MoBr.

a b c (Å): 4.5878 4.5878 4.5878
angles (deg): 90.00 90.00 90.00
Last column: nearest neighbours and their distance in Å.
Atoms (fractional coordinates):
Ni 0.0000 0.5000 0.0000  2 Mo 2.29
Ni 0.0000 0.0000 0.5000  2 Mo 2.29
Ni 0.5000 0.0000 0.0000  2 Mo 2.29
Mo 0.0000 0.0000 0.0000  6 Ni 2.29
Br 0.5000 0.5000 0.5000  12 Ni 3.24

Computed properties:
Crystal system: cubic
Density: 6.05 g/cm3

Entry Q
VASP calculation (PBE) on a relaxed structure of Ni3MoBr.

a b c (Å): 4.3471 4.3471 4.3471
angles (deg): 90.00 90.00 90.00
Last column: nearest neighbours and their distance in Å.
Atoms (fractional coordinates):
Ni 0.0000 0.5000 0.0000  2 Br 2.17
Ni 0.0000 0.0000 0.5000  2 Br 2.17
Ni 0.5000 0.0000 0.0000  2 Br 2.17
Mo 0.5000 0.5000 0.5000  12 Ni 3.07
Br 0.0000 0.0000 0.0000  6 Ni 2.17

Computed properties:
Crystal system: cubic
Density: 7.11 g/cm3

Verdict on stability: entry Q comes out on top.